{"formula": "Y2TaPb", "functional": "PBE", "state": "optimized geometry", "lattice_angstrom": [[-4.173, 4.173, 3.115], [4.173, -4.173, 3.115], [4.173, 4.173, -3.115]], "species": ["Y", "Y", "Y", "Y", "Ta", "Ta", "Pb", "Pb"], "fractional_positions": [[0.114, 0.625, 0.989], [0.375, 0.364, 0.489], [0.636, 0.125, 0.011], [0.875, 0.886, 0.511], [0.000, 0.000, 0.000], [0.750, 0.250, 0.500], [0.250, 0.750, 0.500], [0.500, 0.500, 0.000]], "e_form_ev_per_fu": 2.227}